*one*
Below is a geometry-optimized NdSi3Ir3 structure, with properties calculated at the PBE level. Values from VASP.

Computed properties:
D(E_F)   2.0 states/eV/f.u.
Space group   R-3 (148)
Magnetization   0.00 Bohr magnetons per cell

Geometry as Quantum ESPRESSO input:
```
&SYSTEM
  ibrav = 0, nat = 14, ntyp = 3
/
ATOMIC_SPECIES
Nd 144.24 Nd.upf
Si 28.09 Si.upf
Ir 192.22 Ir.upf
CELL_PARAMETERS angstrom
6.866 0.000 0.000
3.433 5.946 0.000
3.433 1.982 6.784
ATOMIC_POSITIONS crystal
Nd 0.334 0.334 0.997
Nd 0.666 0.666 0.003
Si 0.198 0.612 0.289
Si 0.902 0.198 0.289
Si 0.612 0.902 0.289
Si 0.388 0.098 0.711
Si 0.098 0.802 0.711
Si 0.802 0.388 0.711
Ir 0.478 0.759 0.648
Ir 0.759 0.115 0.648
Ir 0.115 0.478 0.648
Ir 0.885 0.522 0.352
Ir 0.241 0.885 0.352
Ir 0.522 0.241 0.352
```

*two*
Below is a geometry-optimized NdSi3Ir3 structure, with properties calculated at the PBE level. Values from VASP.

Computed properties:
D(E_F)   5.6 states/eV/f.u.
Space group   Pm-3n (223)
Magnetization   0.00 Bohr magnetons per cell

Geometry as Quantum ESPRESSO input:
```
&SYSTEM
  ibrav = 0, nat = 14, ntyp = 3
/
ATOMIC_SPECIES
Si 28.09 Si.upf
Ir 192.22 Ir.upf
Nd 144.24 Nd.upf
CELL_PARAMETERS angstrom
-3.099 4.837 3.168
-5.742 -2.153 -2.330
-0.678 -3.873 5.251
ATOMIC_POSITIONS crystal
Si 0.000 0.250 0.500
Si 0.000 0.750 0.500
Si 0.500 0.000 0.750
Si 0.750 0.500 0.000
Si 0.500 0.000 0.250
Si 0.250 0.500 0.000
Ir 0.250 0.000 0.500
Ir 0.000 0.500 0.250
Ir 0.500 0.750 0.000
Ir 0.750 0.000 0.500
Ir 0.000 0.500 0.750
Ir 0.500 0.250 0.000
Nd 0.500 0.500 0.500
Nd 0.000 0.000 0.000
```

Least stable: *two*

*one*
Below is a geometry-optimized NdSmIr structure, with properties calculated at the PBE level. Values from VASP.

Computed properties:
D(E_F)   2.9 states/eV/f.u.
Space group   I4mm (107)
Magnetization   0.00 Bohr magnetons per cell

Geometry as Quantum ESPRESSO input:
```
&SYSTEM
  ibrav = 0, nat = 3, ntyp = 3
/
ATOMIC_SPECIES
Ir 192.22 Ir.upf
Nd 144.24 Nd.upf
Sm 150.36 Sm.upf
CELL_PARAMETERS angstrom
-2.531 0.438 2.468
-1.494 -3.080 -0.985
5.770 -1.917 3.686
ATOMIC_POSITIONS crystal
Ir 0.668 0.668 0.337
Nd 0.041 0.041 0.082
Sm 0.290 0.290 0.581
```

*two*
Below is a geometry-optimized NdSmIr structure, with properties calculated at the PBE level. Values from VASP.

Computed properties:
D(E_F)   2.2 states/eV/f.u.
Space group   P3m1 (156)
Magnetization   0.00 Bohr magnetons per cell

Geometry as Quantum ESPRESSO input:
```
&SYSTEM
  ibrav = 0, nat = 3, ntyp = 3
/
ATOMIC_SPECIES
Ir 192.22 Ir.upf
Nd 144.24 Nd.upf
Sm 150.36 Sm.upf
CELL_PARAMETERS angstrom
6.373 0.000 0.000
0.000 4.205 0.000
0.000 -2.102 3.641
ATOMIC_POSITIONS crystal
Ir 0.003 0.000 0.000
Nd 0.770 0.667 0.333
Sm 0.227 0.333 0.667
```

Least stable: *one*

*one*
Below is a geometry-optimized NdSmIr structure, with properties calculated at the PBE level. Values from VASP.

Computed properties:
D(E_F)   2.9 states/eV/f.u.
Space group   F-43m (216)
Magnetization   0.00 Bohr magnetons per cell

Geometry as Quantum ESPRESSO input:
```
&SYSTEM
  ibrav = 0, nat = 3, ntyp = 3
/
ATOMIC_SPECIES
Ir 192.22 Ir.upf
Nd 144.24 Nd.upf
Sm 150.36 Sm.upf
CELL_PARAMETERS angstrom
4.929 0.000 0.000
2.465 4.269 0.000
2.465 1.423 4.025
ATOMIC_POSITIONS crystal
Ir 0.250 0.250 0.250
Nd 0.000 0.000 0.000
Sm 0.500 0.500 0.500
```

*two*
Below is a geometry-optimized NdSmIr structure, with properties calculated at the PBE level. Values from VASP.

Computed properties:
D(E_F)   2.6 states/eV/f.u.
Space group   Cm (8)
Magnetization   0.00 Bohr magnetons per cell

Geometry as Quantum ESPRESSO input:
```
&SYSTEM
  ibrav = 0, nat = 6, ntyp = 3
/
ATOMIC_SPECIES
Nd 144.24 Nd.upf
Sm 150.36 Sm.upf
Ir 192.22 Ir.upf
CELL_PARAMETERS angstrom
3.950 0.000 0.000
-1.975 6.212 -2.952
0.000 -0.940 7.764
ATOMIC_POSITIONS crystal
Nd 0.510 0.019 0.081
Nd 0.166 0.331 0.585
Sm 0.250 0.499 0.107
Sm 0.922 0.844 0.598
Ir 0.932 0.865 0.241
Ir 0.598 0.196 0.802
```

Least stable: *two*

*one*
Below is a geometry-optimized NdSmIr2 structure, with properties calculated at the PBE level. Values from VASP.

Computed properties:
D(E_F)   2.8 states/eV/f.u.
Space group   Fm-3m (225)
Magnetization   0.00 Bohr magnetons per cell

Geometry as Quantum ESPRESSO input:
```
&SYSTEM
  ibrav = 0, nat = 4, ntyp = 3
/
ATOMIC_SPECIES
Ir 192.22 Ir.upf
Nd 144.24 Nd.upf
Sm 150.36 Sm.upf
CELL_PARAMETERS angstrom
-3.540 -3.213 -1.421
1.213 -4.700 -1.145
-1.342 -3.730 3.026
ATOMIC_POSITIONS crystal
Ir 0.250 0.250 0.250
Ir 0.750 0.750 0.750
Nd 0.500 0.500 0.500
Sm 0.000 0.000 0.000
```

*two*
Below is a geometry-optimized NdSmIr2 structure, with properties calculated at the PBE level. Values from VASP.

Computed properties:
D(E_F)   2.3 states/eV/f.u.
Space group   Amm2 (38)
Magnetization   0.00 Bohr magnetons per cell

Geometry as Quantum ESPRESSO input:
```
&SYSTEM
  ibrav = 0, nat = 4, ntyp = 3
/
ATOMIC_SPECIES
Nd 144.24 Nd.upf
Sm 150.36 Sm.upf
Ir 192.22 Ir.upf
CELL_PARAMETERS angstrom
-3.795 1.048 -1.047
-1.529 -3.009 2.532
1.740 3.009 4.628
ATOMIC_POSITIONS crystal
Nd 0.729 0.000 0.998
Sm 0.438 0.500 0.414
Ir 0.158 0.500 0.855
Ir 0.006 0.000 0.551
```

Least stable: *one*

*one*
Below is a geometry-optimized Nd3SmIr structure, with properties calculated at the PBE level. Values from VASP.

Computed properties:
D(E_F)   9.2 states/eV/f.u.
Space group   Pm-3m (221)
Magnetization   0.53 Bohr magnetons per cell

Geometry as Quantum ESPRESSO input:
```
&SYSTEM
  ibrav = 0, nat = 5, ntyp = 3
/
ATOMIC_SPECIES
Ir 192.22 Ir.upf
Nd 144.24 Nd.upf
Sm 150.36 Sm.upf
CELL_PARAMETERS angstrom
5.624 0.000 0.000
0.000 5.624 0.000
0.000 0.000 5.624
ATOMIC_POSITIONS crystal
Ir 0.000 0.000 0.000
Nd 0.000 0.500 0.000
Nd 0.000 0.000 0.500
Nd 0.500 0.000 0.000
Sm 0.500 0.500 0.500
```

*two*
Below is a geometry-optimized Nd3SmIr structure, with properties calculated at the PBE level. Values from VASP.

Computed properties:
D(E_F)   5.3 states/eV/f.u.
Space group   C2/m (12)
Magnetization   0.00 Bohr magnetons per cell

Geometry as Quantum ESPRESSO input:
```
&SYSTEM
  ibrav = 0, nat = 10, ntyp = 3
/
ATOMIC_SPECIES
Nd 144.24 Nd.upf
Sm 150.36 Sm.upf
Ir 192.22 Ir.upf
CELL_PARAMETERS angstrom
6.521 -0.129 1.821
1.924 6.814 0.307
-0.109 -0.497 7.069
ATOMIC_POSITIONS crystal
Nd 0.233 0.066 0.567
Nd 0.233 0.567 0.066
Nd 0.767 0.433 0.934
Nd 0.229 0.568 0.568
Nd 0.767 0.934 0.433
Nd 0.771 0.432 0.432
Sm 0.767 0.934 0.934
Sm 0.233 0.066 0.066
Ir 0.499 0.248 0.248
Ir 0.501 0.752 0.752
```

Least stable: *one*

*one*
Below is a geometry-optimized SrNdIr structure, with properties calculated at the PBE level. Values from VASP.

Computed properties:
D(E_F)   1.4 states/eV/f.u.
Space group   F-43m (216)
Magnetization   0.00 Bohr magnetons per cell

Geometry as Quantum ESPRESSO input:
```
&SYSTEM
  ibrav = 0, nat = 3, ntyp = 3
/
ATOMIC_SPECIES
Sr 87.62 Sr.upf
Ir 192.22 Ir.upf
Nd 144.24 Nd.upf
CELL_PARAMETERS angstrom
5.027 0.000 0.000
2.513 4.354 0.000
2.513 1.451 4.105
ATOMIC_POSITIONS crystal
Sr 0.000 0.000 0.000
Ir 0.250 0.250 0.250
Nd 0.500 0.500 0.500
```

*two*
Below is a geometry-optimized SrNdIr structure, with properties calculated at the PBE level. Values from VASP.

Computed properties:
D(E_F)   1.7 states/eV/f.u.
Space group   I4mm (107)
Magnetization   0.00 Bohr magnetons per cell

Geometry as Quantum ESPRESSO input:
```
&SYSTEM
  ibrav = 0, nat = 3, ntyp = 3
/
ATOMIC_SPECIES
Sr 87.62 Sr.upf
Ir 192.22 Ir.upf
Nd 144.24 Nd.upf
CELL_PARAMETERS angstrom
-2.066 1.927 -2.266
-0.729 -3.003 -1.889
-4.154 -0.659 6.123
ATOMIC_POSITIONS crystal
Sr 0.037 0.037 0.073
Ir 0.680 0.680 0.359
Nd 0.284 0.284 0.568
```

*three*
Below is a geometry-optimized SrNdIr structure, with properties calculated at the PBE level. Values from VASP.

Computed properties:
D(E_F)   2.3 states/eV/f.u.
Space group   Cmcm (63)
Magnetization   0.00 Bohr magnetons per cell

Geometry as Quantum ESPRESSO input:
```
&SYSTEM
  ibrav = 0, nat = 6, ntyp = 3
/
ATOMIC_SPECIES
Sr 87.62 Sr.upf
Nd 144.24 Nd.upf
Ir 192.22 Ir.upf
CELL_PARAMETERS angstrom
-0.253 -4.226 -0.912
3.557 -0.569 1.649
-6.727 -1.584 9.208
ATOMIC_POSITIONS crystal
Sr 0.250 0.319 0.638
Sr 0.750 0.681 0.362
Nd 0.250 0.063 0.126
Nd 0.750 0.937 0.874
Ir 0.250 0.456 0.912
Ir 0.750 0.544 0.088
```

*four*
Below is a geometry-optimized SrNdIr structure, with properties calculated at the PBE level. Values from VASP.

Computed properties:
D(E_F)   3.0 states/eV/f.u.
Space group   C2/m (12)
Magnetization   0.00 Bohr magnetons per cell

Geometry as Quantum ESPRESSO input:
```
&SYSTEM
  ibrav = 0, nat = 12, ntyp = 3
/
ATOMIC_SPECIES
Sr 87.62 Sr.upf
Ir 192.22 Ir.upf
Nd 144.24 Nd.upf
CELL_PARAMETERS angstrom
4.087 0.000 0.000
0.000 9.328 1.274
-2.044 0.537 11.444
ATOMIC_POSITIONS crystal
Sr 0.111 0.391 0.223
Sr 0.476 0.218 0.951
Sr 0.524 0.782 0.049
Sr 0.889 0.609 0.777
Ir 0.285 0.689 0.570
Ir 0.772 0.871 0.545
Ir 0.715 0.311 0.430
Ir 0.228 0.129 0.455
Nd 0.298 0.375 0.596
Nd 0.658 0.027 0.316
Nd 0.702 0.625 0.404
Nd 0.342 0.973 0.684
```

Least stable: *four*

*one*
Below is a geometry-optimized SrNd2Ir structure, with properties calculated at the PBE level. Values from VASP.

Computed properties:
D(E_F)   4.3 states/eV/f.u.
Space group   R3m (160)
Magnetization   0.00 Bohr magnetons per cell

Geometry as Quantum ESPRESSO input:
```
&SYSTEM
  ibrav = 0, nat = 4, ntyp = 3
/
ATOMIC_SPECIES
Sr 87.62 Sr.upf
Nd 144.24 Nd.upf
Ir 192.22 Ir.upf
CELL_PARAMETERS angstrom
-4.153 0.702 0.583
-1.671 -0.249 3.902
-0.161 9.552 2.857
ATOMIC_POSITIONS crystal
Sr 0.501 0.501 0.496
Nd 0.050 0.050 0.851
Nd 0.283 0.283 0.151
Ir 0.666 0.666 0.001
```

*two*
Below is a geometry-optimized SrNd2Ir structure, with properties calculated at the PBE level. Values from VASP.

Computed properties:
D(E_F)   3.0 states/eV/f.u.
Space group   P4/mmm (123)
Magnetization   0.00 Bohr magnetons per cell

Geometry as Quantum ESPRESSO input:
```
&SYSTEM
  ibrav = 0, nat = 4, ntyp = 3
/
ATOMIC_SPECIES
Sr 87.62 Sr.upf
Ir 192.22 Ir.upf
Nd 144.24 Nd.upf
CELL_PARAMETERS angstrom
-0.761 3.504 -0.634
-3.544 -0.809 -0.215
-0.966 1.589 9.942
ATOMIC_POSITIONS crystal
Sr 0.500 0.500 0.500
Ir 0.500 0.500 0.000
Nd 0.000 0.000 0.838
Nd 0.000 0.000 0.162
```

*three*
Below is a geometry-optimized SrNd2Ir structure, with properties calculated at the PBE level. Values from VASP.

Computed properties:
D(E_F)   4.0 states/eV/f.u.
Space group   R-3m (166)
Magnetization   0.00 Bohr magnetons per cell

Geometry as Quantum ESPRESSO input:
```
&SYSTEM
  ibrav = 0, nat = 4, ntyp = 3
/
ATOMIC_SPECIES
Sr 87.62 Sr.upf
Ir 192.22 Ir.upf
Nd 144.24 Nd.upf
CELL_PARAMETERS angstrom
4.167 0.000 0.000
2.083 3.609 0.000
2.083 1.203 11.117
ATOMIC_POSITIONS crystal
Sr 0.000 0.000 0.000
Ir 0.500 0.500 0.500
Nd 0.122 0.122 0.635
Nd 0.878 0.878 0.365
```

Least stable: *three*

*one*
Below is a geometry-optimized Tb2NdIr structure, with properties calculated at the PBE level. Values from VASP.

Computed properties:
D(E_F)   4.8 states/eV/f.u.
Space group   P4/mmm (123)
Magnetization   0.00 Bohr magnetons per cell

Geometry as Quantum ESPRESSO input:
```
&SYSTEM
  ibrav = 0, nat = 4, ntyp = 3
/
ATOMIC_SPECIES
Nd 144.24 Nd.upf
Ir 192.22 Ir.upf
Tb 158.93 Tb.upf
CELL_PARAMETERS angstrom
3.512 0.000 0.000
0.000 3.512 0.000
0.000 0.000 8.954
ATOMIC_POSITIONS crystal
Nd 0.500 0.500 0.500
Ir 0.500 0.500 0.000
Tb 0.000 0.000 0.818
Tb 0.000 0.000 0.182
```

*two*
Below is a geometry-optimized Tb2NdIr structure, with properties calculated at the PBE level. Values from VASP.

Computed properties:
D(E_F)   5.1 states/eV/f.u.
Space group   Cmcm (63)
Magnetization   0.00 Bohr magnetons per cell

Geometry as Quantum ESPRESSO input:
```
&SYSTEM
  ibrav = 0, nat = 8, ntyp = 3
/
ATOMIC_SPECIES
Tb 158.93 Tb.upf
Nd 144.24 Nd.upf
Ir 192.22 Ir.upf
CELL_PARAMETERS angstrom
3.883 -0.162 0.000
-1.685 6.215 0.000
0.000 0.000 9.343
ATOMIC_POSITIONS crystal
Tb 0.143 0.285 0.433
Tb 0.857 0.715 0.567
Tb 0.857 0.715 0.933
Tb 0.143 0.285 0.067
Nd 0.427 0.854 0.250
Nd 0.573 0.146 0.750
Ir 0.744 0.489 0.250
Ir 0.256 0.511 0.750
```

Least stable: *one*